No. 1
## AlCrCl2 (PBE-GGA)

Data for an optimized crystal structure of AlCrCl2.

a = 6.1996 Å, b = 6.1996 Å, c = 10.4112 Å
α = 90.00°, β = 90.00°, γ = 90.00°
Space group I-42d (No. 122)
Asymmetric unit:
Al (0.0000, 0.0000, 0.0000) (multiplicity 4)
Cr (0.0000, 0.0000, 0.5000) (multiplicity 4)
Cl (0.1446, 0.2500, 0.6250) (multiplicity 8)

* spin magnetization: 0.00 μB per formula unit
* E_form (uncorrected): 1.3 eV/f.u.
* relative energy among the computed polymorphs: 336 kJ/mol of formula units


No. 2
## Dy6HgTe3Se2 (PBE-GGA)

Data for an optimized crystal structure of Dy6HgTe3Se2.

a = 7.3555 Å, b = 12.6979 Å, c = 7.4610 Å
α = 90.00°, β = 109.01°, γ = 90.00°
Space group C2/m (No. 12)
Asymmetric unit:
Dy (0.2408, 0.0000, 0.2263) (multiplicity 4)
Dy (0.2429, 0.3323, 0.2278) (multiplicity 8)
Hg (0.0000, 0.5000, 0.0000) (multiplicity 2)
Te (0.0000, 0.0000, 0.5000) (multiplicity 2)
Te (0.0000, 0.3331, 0.5000) (multiplicity 4)
Se (0.0000, 0.1662, 0.0000) (multiplicity 4)

* spin magnetization: 0.00 μB per formula unit
* E_form (uncorrected): -15.9 eV/f.u.


No. 3
## Y3TmH8 (PBE-GGA)

Data for an optimized crystal structure of Y3TmH8.

a = 5.1586 Å, b = 5.1586 Å, c = 5.1586 Å
α = 90.00°, β = 90.00°, γ = 90.00°
Space group Pm-3m (No. 221)
Asymmetric unit:
Y (0.0000, 0.0000, 0.5000) (multiplicity 3)
Tm (0.5000, 0.5000, 0.5000) (multiplicity 1)
H (0.2534, 0.2534, 0.2534) (multiplicity 8)

* spin magnetization: 0.00 μB per formula unit
* electronic total energy: -4.950 eV per atom


No. 4
## Zn4GaCu5 (PBE-GGA)

Data for an optimized crystal structure of Zn4GaCu5.

a = 7.9346 Å, b = 7.9346 Å, c = 4.6658 Å
α = 90.00°, β = 90.00°, γ = 90.00°
Space group I4mm (No. 107)
Asymmetric unit:
Zn (0.0000, 0.3278, 0.0000) (multiplicity 8)
Ga (0.0000, 0.0000, 0.3404) (multiplicity 2)
Cu (0.0000, 0.0000, 0.8535) (multiplicity 2)
Cu (0.1972, 0.1972, 0.6103) (multiplicity 8)

* spin magnetization: 0.00 μB per formula unit
* ΔH_f (0 K): 102 meV/atom
* relative energy among the computed polymorphs: 176 kJ/mol of formula units